1.
VASP calculation (GGA-PBE) on a relaxed structure of TcSnMo.

Cell lengths 9.6687, 3.1170, 7.3342 Å; angles 90.00, 102.89, 90.00 degrees
Last column: nearest neighbours and their distance in Å.
Element x y z (fractional)
Tc (0.0000, 0.0000, 0.0000)  5 Mo 2.66-2.95, 2 Tc 2.71, 2 Sn 2.83
Tc (0.2261, 0.5000, 0.1500)  2 Mo 2.63, 2 Tc 2.71, 4 Sn 2.89-2.94
Tc (0.5000, 0.5000, 0.0000)  5 Mo 2.66-2.95, 2 Tc 2.71, 2 Sn 2.83
Tc (0.7261, 0.0000, 0.1500)  2 Mo 2.63, 2 Tc 2.71, 4 Sn 2.89-2.94
Sn (0.2950, 0.5000, 0.5555)  1 Tc 2.90, 5 Mo 2.90-2.95, 5 Sn 3.12-3.21
Sn (0.4749, 0.0000, 0.3134)  5 Tc 2.83-2.94, 1 Mo 2.94, 4 Sn 3.12-3.16
Sn (0.7950, 0.0000, 0.5555)  1 Tc 2.90, 5 Mo 2.90-2.95, 5 Sn 3.12-3.21
Sn (0.9749, 0.5000, 0.3134)  5 Tc 2.83-2.94, 1 Mo 2.94, 4 Sn 3.12-3.16
Mo (0.0457, 0.5000, 0.7251)  2 Tc 2.66, 2 Mo 2.72, 4 Sn 2.92-2.95
Mo (0.2722, 0.0000, 0.8814)  4 Tc 2.63-2.68, 2 Mo 2.72, 2 Sn 2.90
Mo (0.5457, 0.0000, 0.7251)  2 Tc 2.66, 2 Mo 2.72, 4 Sn 2.92-2.95
Mo (0.7722, 0.5000, 0.8814)  4 Tc 2.63-2.68, 2 Mo 2.72, 2 Sn 2.90

Calculated formation energy in eV per atom: 0.13
SG: No. 8

2.
VASP calculation (GGA-PBE) on a relaxed structure of Tc3SnMo.

Cell lengths 4.7066, 4.7066, 4.7066 Å; angles 90.00, 90.00, 90.00 degrees
Last column: nearest neighbours and their distance in Å.
Element x y z (fractional)
Tc (0.0000, 0.0000, 0.5000)  2 Mo 2.35
Tc (0.0000, 0.5000, 0.0000)  2 Mo 2.35
Tc (0.5000, 0.0000, 0.0000)  2 Mo 2.35
Sn (0.5000, 0.5000, 0.5000)  12 Tc 3.33
Mo (0.0000, 0.0000, 0.0000)  6 Tc 2.35

Calculated formation energy in eV per atom: 1.49
SG: No. 221

3.
VASP calculation (GGA-PBE) on a relaxed structure of TcSnMo.

Cell lengths 11.2436, 3.0323, 6.3043 Å; angles 90.00, 105.49, 90.00 degrees
Last column: nearest neighbours and their distance in Å.
Element x y z (fractional)
Tc (0.0000, 0.0000, 0.0000)  4 Mo 2.70-2.73, 3 Sn 2.83-2.84, 2 Tc 2.95
Tc (0.2154, 0.5000, 0.9491)  1 Mo 2.40
Tc (0.5000, 0.5000, 0.0000)  4 Mo 2.70-2.73, 3 Sn 2.83-2.84, 2 Tc 2.95
Tc (0.7154, 0.0000, 0.9491)  1 Mo 2.40
Sn (0.0510, 0.0000, 0.5842)  3 Tc 2.83-2.96, 4 Mo 2.90-2.91, 5 Sn 3.03-3.08
Sn (0.3310, 0.0000, 0.6724)  4 Tc 2.84-2.87, 3 Mo 2.95-2.99, 5 Sn 3.03-3.08
Sn (0.5510, 0.5000, 0.5842)  3 Tc 2.83-2.96, 4 Mo 2.90-2.91, 5 Sn 3.03-3.08
Sn (0.8310, 0.5000, 0.6724)  4 Tc 2.84-2.87, 3 Mo 2.95-2.99, 5 Sn 3.03-3.08
Mo (0.1664, 0.5000, 0.2978)  1 Tc 2.40
Mo (0.3833, 0.0000, 0.2375)  4 Tc 2.70-2.71, 3 Sn 2.90-2.95, 2 Mo 2.98
Mo (0.6664, 0.0000, 0.2978)  1 Tc 2.40
Mo (0.8833, 0.5000, 0.2375)  4 Tc 2.70-2.71, 3 Sn 2.90-2.95, 2 Mo 2.98

Calculated formation energy in eV per atom: 0.15
SG: No. 8